# 1
The following is a PBE-GGA calculation of BiIrOsPd after structural relaxation, from Alexandria.

Its crystal system is triclinic. The calculation puts the spin magnetization at 0.00 μB/f.u. The calculation puts the formation energy at 0.47 eV per atom. As for the density of states at the Fermi level: 0.9488 states/eV/atom. The energy above the most stable polymorph in this dataset comes out at 0.085 eV per atom.

Unit cell a=3.9422 b=4.1676 c=5.5491 alpha=72.11 beta=71.12 gamma=67.36
Atoms (fractional coordinates):
Pd1 0.6838 0.0128 0.2928
Os1 0.1243 0.4648 0.0241
Bi1 0.9515 0.3194 0.5866
Ir1 0.5106 0.8722 0.8993

---

# 2
The following is a PBE-GGA calculation of SrY2Hf2 after structural relaxation, from Alexandria.

Its crystal system is tetragonal. The calculation puts the spin magnetization at 0.00 μB/f.u. The calculation puts the formation energy at 0.37 eV per atom. As for the density of states at the Fermi level: 0.7329 states/eV/atom. The energy above the most stable polymorph in this dataset comes out at 0.089 eV per atom.

Unit cell a=9.4016 b=9.4016 c=3.4190 alpha=90.00 beta=90.00 gamma=90.00
Atoms (fractional coordinates):
Hf1 0.8322 0.3322 0.5000
Hf2 0.6678 0.8322 0.5000
Hf3 0.1678 0.6678 0.5000
Hf4 0.3322 0.1678 0.5000
Y1 0.6253 0.1253 0.0000
Y2 0.3747 0.8747 0.0000
Y3 0.1253 0.3747 0.0000
Y4 0.8747 0.6253 0.0000
Sr1 0.0000 0.0000 0.0000
Sr2 0.5000 0.5000 0.0000

---

# 3
The following is a PBE-GGA calculation of YC3O after structural relaxation, from Alexandria.

Its crystal system is cubic. The calculation puts the raw formation energy at 2.003 eV per atom. The calculation puts the spin magnetization at 0.00 μB/f.u. As for the density of states at the Fermi level: 0.6467 states/eV/atom. The energy above the most stable polymorph in this dataset comes out at 0.000 eV per atom.

Unit cell a=3.7928 b=3.7928 c=3.7928 alpha=90.00 beta=90.00 gamma=90.00
Atoms (fractional coordinates):
C1 0.0000 0.5000 0.0000
C2 0.0000 0.0000 0.5000
C3 0.5000 0.0000 0.0000
Y1 0.5000 0.5000 0.5000
O1 0.0000 0.0000 0.0000

---

# 4
The following is a PBE-GGA calculation of KHfNbSe2 after structural relaxation, from Alexandria.

Its crystal system is tetragonal. The calculation puts the raw formation energy at 1.656 eV per atom. The calculation puts the spin magnetization at 2.23 μB/f.u. As for the density of states at the Fermi level: 1.0563 states/eV/atom.

Unit cell a=5.3082 b=4.7675 c=5.3082 alpha=90.00 beta=90.00 gamma=90.00
Each line ends with the local moment (μB).
Atoms (fractional coordinates):
Hf1 0.5000 0.5000 0.5000  -0.23
Nb1 0.0000 0.5000 0.0000  2.05
Se1 0.0000 0.0000 0.5000  -0.02
Se2 0.5000 0.0000 0.0000  -0.02
K1 0.0000 0.0000 0.0000  0.11